## HoMgCu2Ge2 (GGA-PBE)

Data for crystalline HoMgCu2Ge2 at its relaxed geometry.

Cell: 4.2104 4.2104 6.7794 Å, 90.00 90.00 120.00°
Positions (direct):
Ge (0.3333, 0.6667, 0.2455)
Mg (0.0000, 0.0000, 0.0000)
Cu (0.6667, 0.3333, 0.2007)
Ho (0.0000, 0.0000, 0.5000)
Cu (0.3333, 0.6667, 0.7993)
Ge (0.6667, 0.3333, 0.7545)

As for the density of states at the Fermi level: 1.8 states/eV/cell. As for the crystal system: trigonal. For the energy of formation, the calculation gives -464 meV per atom. The value obtained for the volume is 104 Å³/f.u.